Model 1:
Below is KSi2Ag2 after structural relaxation, with properties calculated at the GGA-PBE level.

Properties
Magnetization = 0.0 μB per formula unit

```
data_KSi2Ag2
_cell_length_a 4.620
_cell_length_b 4.620
_cell_length_c 9.948
_cell_angle_alpha 90.00
_cell_angle_beta 90.00
_cell_angle_gamma 90.00
_space_group_name_H-M_alt 'I 4/m m m'
_space_group_IT_number 139
_space_group_name_Hall '-I 4 2'
loop_
_atom_site_label
_atom_site_fract_x
_atom_site_fract_y
_atom_site_fract_z
K1 0.000 0.000 0.000
Si1 0.000 0.000 0.383
Ag1 0.000 0.500 0.250
```

---

Model 2:
Below is KSi2Ag2 after structural relaxation, with properties calculated at the GGA-PBE level.

Properties
Magnetization = 0.0 μB per formula unit

```
data_KSi2Ag2
_cell_length_a 8.463
_cell_length_b 8.463
_cell_length_c 2.792
_cell_angle_alpha 90.00
_cell_angle_beta 90.00
_cell_angle_gamma 90.00
_space_group_name_H-M_alt 'P 4/m b m'
_space_group_IT_number 127
_space_group_name_Hall '-P 4 2ab'
loop_
_atom_site_label
_atom_site_fract_x
_atom_site_fract_y
_atom_site_fract_z
K1 0.000 0.000 0.000
Si1 0.138 0.362 0.000
Ag1 0.149 0.649 0.500
```

---

Model 3:
Below is KSi2Ag2 after structural relaxation, with properties calculated at the GGA-PBE level.

Properties
Magnetization = 0.0 μB per formula unit

```
data_KSi2Ag2
_cell_length_a 4.539
_cell_length_b 4.539
_cell_length_c 11.093
_cell_angle_alpha 90.00
_cell_angle_beta 90.00
_cell_angle_gamma 90.00
_space_group_name_H-M_alt 'I 4/m m m'
_space_group_IT_number 139
_space_group_name_Hall '-I 4 2'
loop_
_atom_site_label
_atom_site_fract_x
_atom_site_fract_y
_atom_site_fract_z
K1 0.000 0.000 0.000
Si1 0.000 0.500 0.250
Ag1 0.000 0.000 0.361
```

---

Most stable = model 1

---

Model 1:
Below is K2SiAg2 after structural relaxation, with properties calculated at the GGA-PBE level.

Properties
Magnetization = 0.0 μB per formula unit

```
data_K2SiAg2
_cell_length_a 7.023
_cell_length_b 7.023
_cell_length_c 5.668
_cell_angle_alpha 90.00
_cell_angle_beta 90.00
_cell_angle_gamma 90.00
_space_group_name_H-M_alt 'P 4/m b m'
_space_group_IT_number 127
_space_group_name_Hall '-P 4 2ab'
loop_
_atom_site_label
_atom_site_fract_x
_atom_site_fract_y
_atom_site_fract_z
K1 0.166 0.334 0.000
Si1 0.000 0.000 0.500
Ag1 0.189 0.689 0.500
```

---

Model 2:
Below is K2SiAg2 after structural relaxation, with properties calculated at the GGA-PBE level.

Properties
Magnetization = 0.6 μB per formula unit

```
data_K2SiAg2
_cell_length_a 3.845
_cell_length_b 3.845
_cell_length_c 20.841
_cell_angle_alpha 90.00
_cell_angle_beta 90.00
_cell_angle_gamma 90.00
_space_group_name_H-M_alt 'I 4/m m m'
_space_group_IT_number 139
_space_group_name_Hall '-I 4 2'
loop_
_atom_site_label
_atom_site_fract_x
_atom_site_fract_y
_atom_site_fract_z
K1 0.000 0.000 0.104
Si1 0.000 0.000 0.500
Ag1 0.000 0.500 0.250
```

---

Most stable = model 1

---

Model 1:
Below is KSiAg3 after structural relaxation, with properties calculated at the GGA-PBE level.

Properties
Magnetization = 0.0 μB per formula unit

```
data_KSiAg3
_cell_length_a 4.980
_cell_length_b 4.980
_cell_length_c 4.980
_cell_angle_alpha 90.00
_cell_angle_beta 90.00
_cell_angle_gamma 90.00
_space_group_name_H-M_alt 'P m -3 m'
_space_group_IT_number 221
_space_group_name_Hall '-P 4 2 3'
loop_
_atom_site_label
_atom_site_fract_x
_atom_site_fract_y
_atom_site_fract_z
K1 0.000 0.000 0.000
Si1 0.500 0.500 0.500
Ag1 0.000 0.500 0.500
```

---

Model 2:
Below is KSiAg3 after structural relaxation, with properties calculated at the GGA-PBE level.

Properties
Magnetization = 0.0 μB per formula unit

```
data_KSiAg3
_cell_length_a 14.874
_cell_length_b 9.401
_cell_length_c 6.223
_cell_angle_alpha 90.00
_cell_angle_beta 102.86
_cell_angle_gamma 90.00
_space_group_name_H-M_alt 'C 1 2/c 1'
_space_group_IT_number 15
_space_group_name_Hall '-C 2yc'
loop_
_atom_site_label
_atom_site_fract_x
_atom_site_fract_y
_atom_site_fract_z
K1 0.000 0.014 0.250
K2 0.000 0.352 0.250
Si1 0.084 0.318 0.795
Ag1 0.178 0.495 0.586
Ag2 0.184 0.155 0.089
Ag3 0.186 0.164 0.595
```

---

Most stable = model 1